The following is a GGA+U calculation of CrMoI2O after structural relaxation, from Alexandria.

Unit cell a=5.862 b=5.862 c=3.719 alpha=90.00 beta=90.00 gamma=90.00
Fractional positions:
I  0.000  0.500  0.000
I  0.500  0.000  0.000
Cr  0.000  0.000  0.000
Mo  0.500  0.500  0.500
O  0.000  0.000  0.500

N(E_F)   3.007 states/eV/cell
Uncorrected energy   -23.43 eV/cell
Crystal system   tetragonal